Model A:
# KMoOs3 (PBE-GGA, relaxed)
# - M_tot (μB per formula unit) = 1.1
# - space-group type = Pm-3m
data_KMoOs3
_cell_length_a 4.808
_cell_length_b 4.808
_cell_length_c 4.808
_cell_angle_alpha 90.00
_cell_angle_beta 90.00
_cell_angle_gamma 90.00
_space_group_name_H-M_alt 'P 1'
_space_group_IT_number 1
_space_group_name_Hall 'P 1'
loop_
_atom_site_label
_atom_site_type_symbol
_atom_site_fract_x
_atom_site_fract_y
_atom_site_fract_z
K1 K 0.000 0.000 0.000
Mo1 Mo 0.500 0.500 0.500
Os1 Os 0.000 0.500 0.500
Os2 Os 0.500 0.000 0.500
Os3 Os 0.500 0.500 0.000


Model B:
# KMoOs3 (PBE-GGA, relaxed)
# - M_tot (μB per formula unit) = 0.0
# - space-group type = Pm-3m
data_KMoOs3
_cell_length_a 4.475
_cell_length_b 4.475
_cell_length_c 4.475
_cell_angle_alpha 90.00
_cell_angle_beta 90.00
_cell_angle_gamma 90.00
_space_group_name_H-M_alt 'P 1'
_space_group_IT_number 1
_space_group_name_Hall 'P 1'
loop_
_atom_site_label
_atom_site_type_symbol
_atom_site_fract_x
_atom_site_fract_y
_atom_site_fract_z
K1 K 0.000 0.000 0.000
Mo1 Mo 0.500 0.500 0.500
Os1 Os 0.000 0.000 0.500
Os2 Os 0.000 0.500 0.000
Os3 Os 0.500 0.000 0.000


The energetic minimum among the shown structures is model A; the next structure lies 1.789 eV/atom above.